1.
Entry from the Alexandria database: PmGdAl2 after structural relaxation (PBE).

Geometry as POSCAR:
```
PmGdAl2
1.0
-2.4474 -3.4276 -3.0258
1.5354 -4.9528 -0.0754
-2.9815 -3.6716 2.1268
Al Gd Pm
2 1 1
direct
0.2500 0.2500 0.2500 Al
0.7500 0.7500 0.7500 Al
0.5000 0.5000 0.5000 Gd
0.0000 0.0000 0.0000 Pm
```

Results
Distance to the lowest polymorph of the same formula (meV per atom): 8
Uncorrected energy (eV per atom): -6.956
Calculated volume (Å³/f.u.): 98.6

=====

2.
Entry from the Alexandria database: K3Ac3InS8 after structural relaxation (PBE).

Geometry as POSCAR:
```
K3Ac3InS8
1.0
8.6496 0.0000 0.0000
-4.3247 7.4942 -0.0237
0.0000 -4.9733 7.5056
S Ac K In
8 3 3 1
direct
0.7382 0.4764 0.7146 S
0.2184 0.4368 0.6994 S
0.2374 0.0190 0.3005 S
0.7815 0.0190 0.3005 S
0.2618 0.5236 0.2854 S
0.7626 0.9810 0.6995 S
0.7816 0.5632 0.3006 S
0.2185 0.9810 0.6995 S
0.5000 0.0000 0.5000 Ac
0.5000 0.5000 0.5000 Ac
0.0000 0.5000 0.5000 Ac
0.5000 0.5000 0.0000 K
0.0000 0.0000 0.0000 K
0.0000 0.5000 0.0000 K
0.0000 0.0000 0.5000 In
```

Results
Uncorrected energy (eV per atom): -4.913
Calculated volume (Å³/f.u.): 485.5

=====

3.
Entry from the Alexandria database: Dy3Mg2MoS8 after structural relaxation (PBE).

Geometry as POSCAR:
```
Dy3Mg2MoS8
1.0
6.6326 -3.9171 0.0006
6.6326 3.9171 0.0006
4.3186 0.0000 6.3785
Mg S Mo Dy
2 8 1 3
direct
0.1256 0.1256 0.1256 Mg
0.8744 0.8744 0.8744 Mg
0.7341 0.2678 0.7341 S
0.7341 0.7341 0.2678 S
0.2659 0.7322 0.2659 S
0.2678 0.7341 0.7341 S
0.7322 0.2659 0.2659 S
0.2659 0.2659 0.7322 S
0.7449 0.7449 0.7449 S
0.2551 0.2551 0.2551 S
0.5000 0.5000 0.5000 Mo
0.5000 0.0000 0.5000 Dy
0.0000 0.5000 0.5000 Dy
0.5000 0.5000 0.0000 Dy
```

Results
Uncorrected energy (eV per atom): -5.897
Calculated volume (Å³/f.u.): 331.4

=====

4.
Entry from the Alexandria database: TlTeSeS after structural relaxation (PBE).

Geometry as POSCAR:
```
TlTeSeS
1.0
-3.6686 -0.0870 3.7536
2.2421 -3.6933 2.1057
2.5742 4.1462 2.6120
Tl Te S Se
1 1 1 1
direct
0.5000 0.3887 0.2126 Tl
0.0000 0.9601 0.7667 Te
0.0000 0.5045 0.9430 S
0.5000 0.9434 0.6106 Se
```

Results
Uncorrected energy (eV per atom): -3.350
Calculated volume (Å³/f.u.): 138.0

=====

Number 1: ρ 6.00 g/cm3, N(E_F) 1.5 states/eV per cell. Number 2: ρ 4.00 g/cm3, N(E_F) 22.8 states/eV per cell. Number 3: ρ 4.45 g/cm3, N(E_F) 0.1 states/eV per cell. Number 4: ρ 5.33 g/cm3, N(E_F) 1.2 states/eV per cell.